# CaTlI3 | Alexandria | PBE-GGA | optimized geometry
# SG: Pnma
# Energy relative to the elements, uncorrected: -1227 meV/atom
data_CaTlI3
_chemical_formula_sum 'Ca4 Tl4 I12'
_cell_length_a 10.9581
_cell_length_b 4.6340
_cell_length_c 16.8808
_cell_angle_alpha 90.00
_cell_angle_beta 90.00
_cell_angle_gamma 90.00
_space_group_name_H-M_alt 'P 1'
_space_group_IT_number 1
_space_group_name_Hall 'P 1'
loop_
_atom_site_label
_atom_site_fract_x
_atom_site_fract_y
_atom_site_fract_z
Ca1 0.1680 0.2500 0.0498
Ca2 0.3320 0.7500 0.5498
Ca3 0.6680 0.2500 0.4502
Ca4 0.8320 0.7500 0.9502
Tl1 0.0040 0.7500 0.3309
Tl2 0.4960 0.2500 0.8309
Tl3 0.5040 0.7500 0.1691
Tl4 0.9960 0.2500 0.6691
I1 0.0105 0.2500 0.8921
I2 0.1635 0.2500 0.4861
I3 0.2097 0.7500 0.7138
I4 0.2903 0.2500 0.2138
I5 0.3365 0.7500 0.9861
I6 0.4895 0.7500 0.3921
I7 0.5105 0.2500 0.6079
I8 0.6635 0.2500 0.0139
I9 0.7097 0.7500 0.7862
I10 0.7903 0.2500 0.2862
I11 0.8365 0.7500 0.5139
I12 0.9895 0.7500 0.1079